(1)
VASP calculation (GGA-PBE) on crystalline Gd2RhN at its relaxed geometry.

Its polymorph energy (0 for the lowest one) is 265 meV/atom. Its magnetization is 14.12 μB per cell.

The structure belongs to space group P4/mmm (No. 123); the cell edges are 3.188, 3.188 and 6.773 Å and the angles 90.00°, 90.00° and 90.00°. The asymmetric unit holds Gd at (0.000, 0.000, 0.215), Rh at (0.500, 0.500, 0.500) and N at (0.500, 0.500, 0.000).

(2)
VASP calculation (GGA-PBE) on crystalline Gd2RhN at its relaxed geometry.

Its polymorph energy (0 for the lowest one) is 0 meV/atom. Its magnetization is 42.78 μB per cell.

The structure belongs to space group R-3m (No. 166, hexagonal axes); the cell edges are 3.5219, 3.5219 and 20.8637 Å and the angles 90.00°, 90.00° and 120.00°. The asymmetric unit holds Gd at (0.0000, 0.0000, 0.2351), Rh at (0.0000, 0.0000, 0.0000) and N at (0.0000, 0.0000, 0.5000).

(3)
VASP calculation (GGA-PBE) on crystalline Gd3RhN at its relaxed geometry.

Its magnetization is 22.08 μB per cell.

The structure belongs to space group Pm-3m (No. 221); the cell edges are 4.770, 4.770 and 4.770 Å and the angles 90.00°, 90.00° and 90.00°. The asymmetric unit holds Gd at (0.000, 0.000, 0.500), Rh at (0.500, 0.500, 0.500) and N at (0.000, 0.000, 0.000).

(4)
VASP calculation (GGA-PBE) on crystalline Gd2SN at its relaxed geometry.

Its magnetization is 41.75 μB per cell.

The structure belongs to space group R-3m (No. 166, hexagonal axes); the cell edges are 3.6832, 3.6832 and 18.9760 Å and the angles 90.00°, 90.00° and 120.00°. The asymmetric unit holds Gd at (0.0000, 0.0000, 0.2371), S at (0.0000, 0.0000, 0.0000) and N at (0.0000, 0.0000, 0.5000).

(5)
VASP calculation (GGA-PBE) on crystalline GdSc2N at its relaxed geometry.

Its polymorph energy (0 for the lowest one) is 0 meV/atom. Its magnetization is 23.03 μB per cell.

The structure belongs to space group R-3m (No. 166, hexagonal axes); the cell edges are 3.2812, 3.2812 and 25.5457 Å and the angles 90.00°, 90.00° and 120.00°. The asymmetric unit holds Gd at (0.0000, 0.0000, 0.0000), Sc at (0.0000, 0.0000, 0.2142) and N at (0.0000, 0.0000, 0.5000).

(6)
VASP calculation (GGA-PBE) on crystalline GdScN at its relaxed geometry.

Its magnetization is 7.99 μB per cell.

The structure belongs to space group P3m1 (No. 156); the cell edges are 3.3763, 3.3763 and 5.8211 Å and the angles 90.00°, 90.00° and 120.00°. The asymmetric unit holds Gd at (0.0000, 0.0000, 0.0000), Sc at (0.3333, 0.6667, 0.5546) and N at (0.6667, 0.3333, 0.7394).

| no. | total DFT energy (no corrections) (eV per atom) |
| --- | --- |
| 1 | -11.661 |
| 2 | -11.926 |
| 3 | -12.376 |
| 4 | -11.972 |
| 5 | -9.651 |
| 6 | -10.646 |